1.
VASP calculation (PBEsol) on a relaxed BaSbTe2I crystal.

a b c (Å): 6.533 6.533 6.316
angles (deg): 90.00 90.00 90.00
Space group P4/mmm (No. 123)
Inequivalent atoms, fractional coordinates:
Ba 0.000 0.000 0.000 [1 per cell]
Sb 0.500 0.500 0.500 [1 per cell]
Te 0.000 0.500 0.000 [2 per cell]
I 0.000 0.000 0.500 [1 per cell]

Calculated values
Formation energy (no corrections): 0.370 eV per atom
Relative energy among the computed polymorphs: 995 meV per atom
VASP energy: -13.674 eV for the cell shown

=====

2.
VASP calculation (PBEsol) on a relaxed BaSbTe2I crystal.

a b c (Å): 5.795 5.795 5.800
angles (deg): 90.00 90.00 90.00
Space group P4/mmm (No. 123)
Inequivalent atoms, fractional coordinates:
Ba 0.000 0.000 0.000 [1 per cell]
Sb 0.500 0.500 0.500 [1 per cell]
Te 0.000 0.500 0.500 [2 per cell]
I 0.500 0.500 0.000 [1 per cell]

Calculated values
Formation energy (no corrections): -0.625 eV per atom
Relative energy among the computed polymorphs: 0 meV per atom
VASP energy: -18.650 eV for the cell shown

=====

3.
VASP calculation (PBEsol) on a relaxed BaTlSbI2 crystal.

a b c (Å): 6.534 6.534 6.681
angles (deg): 90.00 90.00 90.00
Space group P4/mmm (No. 123)
Inequivalent atoms, fractional coordinates:
Ba 0.000 0.000 0.000 [1 per cell]
Tl 0.500 0.500 0.500 [1 per cell]
Sb 0.000 0.000 0.500 [1 per cell]
I 0.000 0.500 0.000 [2 per cell]

Calculated values
Formation energy (no corrections): -0.293 eV per atom
VASP energy: -14.334 eV for the cell shown